DFT (PBE-GGA) results for crystalline HfBeGa at its relaxed geometry.

Properties
E above lowest polymorph	270	meV per atom
space group	F-43m, No. 216
magnetic moment	0.00	μB per atom

abc: 4.0658 4.0658 4.0658
angles: 60.00 60.00 60.00
Element x y z (fractional)
1 Hf 0.0000 0.0000 0.0000
2 Be 0.7500 0.7500 0.7500
3 Ga 0.5000 0.5000 0.5000



DFT (PBE-GGA) results for crystalline HfBeGa2 at its relaxed geometry.

Properties
VASP energy	-18.93	eV per cell
space group	F-43m, No. 216
magnetic moment	0.00	μB per atom

abc: 4.4960 4.4960 4.4960
angles: 60.00 60.00 60.00
Element x y z (fractional)
1 Hf 0.0000 0.0000 0.0000
2 Be 0.7500 0.7500 0.7500
3 Ga 0.2500 0.2500 0.2500
4 Ga 0.5000 0.5000 0.5000



DFT (PBE-GGA) results for crystalline HfBeGa at its relaxed geometry.

Properties
E above lowest polymorph	0	meV per atom
space group	Pnma, No. 62
magnetic moment	0.00	μB per atom

abc: 6.4510 4.0041 6.9453
angles: 90.00 90.00 90.00
Element x y z (fractional)
1 Hf 0.9997 0.2500 0.2460
2 Hf 0.0003 0.7500 0.7540
3 Hf 0.4997 0.2500 0.2540
4 Hf 0.5003 0.7500 0.7460
5 Be 0.2462 0.2500 0.5833
6 Be 0.2538 0.7500 0.0833
7 Be 0.7462 0.2500 0.9167
8 Be 0.7538 0.7500 0.4167
9 Ga 0.2458 0.7500 0.4166
10 Ga 0.2542 0.2500 0.9166
11 Ga 0.7458 0.7500 0.0834
12 Ga 0.7542 0.2500 0.5834



DFT (PBE-GGA) results for crystalline HfBe2Ga at its relaxed geometry.

Properties
VASP energy	-19.61	eV per cell
space group	F-43m, No. 216
magnetic moment	0.00	μB per atom

abc: 4.2900 4.2900 4.2900
angles: 60.00 60.00 60.00
Element x y z (fractional)
1 Hf 0.0000 0.0000 0.0000
2 Be 0.2500 0.2500 0.2500
3 Be 0.5000 0.5000 0.5000
4 Ga 0.7500 0.7500 0.7500



DFT (PBE-GGA) results for crystalline BeGaNiHg at its relaxed geometry.

Properties
E above lowest polymorph	0	meV per atom
space group	F-43m, No. 216
magnetic moment	0.00	μB per atom

abc: 4.2994 4.2994 4.2994
angles: 60.00 60.00 60.00
Element x y z (fractional)
1 Be 0.0000 0.0000 0.0000
2 Ga 0.2500 0.2500 0.2500
3 Ni 0.5000 0.5000 0.5000
4 Hg 0.7500 0.7500 0.7500



DFT (PBE-GGA) results for crystalline BeInGaNi at its relaxed geometry.

Properties
E above lowest polymorph	104	meV per atom
space group	F-43m, No. 216
magnetic moment	0.00	μB per atom

abc: 4.3852 4.3852 4.3852
angles: 60.00 60.00 60.00
Element x y z (fractional)
1 Be 0.0000 0.0000 0.0000
2 In 0.5000 0.5000 0.5000
3 Ga 0.2500 0.2500 0.2500
4 Ni 0.7500 0.7500 0.7500



DFT (PBE-GGA) results for crystalline BeInGaNi at its relaxed geometry.

Properties
E above lowest polymorph	100	meV per atom
space group	F-43m, No. 216
magnetic moment	0.00	μB per atom

abc: 4.3591 4.3591 4.3591
angles: 60.00 60.00 60.00
Element x y z (fractional)
1 Be 0.0000 0.0000 0.0000
2 In 0.7500 0.7500 0.7500
3 Ga 0.5000 0.5000 0.5000
4 Ni 0.2500 0.2500 0.2500



DFT (PBE-GGA) results for crystalline BeInGaNi at its relaxed geometry.

Properties
E above lowest polymorph	0	meV per atom
space group	F-43m, No. 216
magnetic moment	0.00	μB per atom

abc: 4.3426 4.3426 4.3426
angles: 60.00 60.00 60.00
Element x y z (fractional)
1 Be 0.0000 0.0000 0.0000
2 In 0.7500 0.7500 0.7500
3 Ga 0.2500 0.2500 0.2500
4 Ni 0.5000 0.5000 0.5000



DFT (PBE-GGA) results for crystalline BeInGaPd at its relaxed geometry.

Properties
E above lowest polymorph	0	meV per atom
space group	F-43m, No. 216

abc: 4.5136 4.5136 4.5136
angles: 60.00 60.00 60.00
Element x y z (fractional)
1 Be 0.0000 0.0000 0.0000
2 In 0.7500 0.7500 0.7500
3 Ga 0.2500 0.2500 0.2500
4 Pd 0.5000 0.5000 0.5000



DFT (PBE-GGA) results for crystalline BeInGaPd at its relaxed geometry.

Properties
E above lowest polymorph	16	meV per atom
space group	F-43m, No. 216

abc: 4.4953 4.4953 4.4953
angles: 60.00 60.00 60.00
Element x y z (fractional)
1 Be 0.0000 0.0000 0.0000
2 In 0.7500 0.7500 0.7500
3 Ga 0.5000 0.5000 0.5000
4 Pd 0.2500 0.2500 0.2500



DFT (PBE-GGA) results for crystalline BeGaIr at its relaxed geometry.

Properties
E above lowest polymorph	0	meV per atom
space group	F-43m, No. 216
magnetic moment	0.00	μB per atom

abc: 3.8388 3.8388 3.8388
angles: 60.00 60.00 60.00
Element x y z (fractional)
1 Be 0.0000 0.0000 0.0000
2 Ga 0.7500 0.7500 0.7500
3 Ir 0.2500 0.2500 0.2500



DFT (PBE-GGA) results for crystalline Be2GaIr at its relaxed geometry.

Properties
VASP energy	-19.84	eV per cell
space group	F-43m, No. 216
magnetic moment	0.00	μB per atom

abc: 4.0651 4.0651 4.0651
angles: 60.00 60.00 60.00
Element x y z (fractional)
1 Be 0.0000 0.0000 0.0000
2 Be 0.2500 0.2500 0.2500
3 Ga 0.5000 0.5000 0.5000
4 Ir 0.7500 0.7500 0.7500



DFT (PBE-GGA) results for crystalline BeGaIr at its relaxed geometry.

Properties
E above lowest polymorph	80	meV per atom
space group	F-43m, No. 216
magnetic moment	0.00	μB per atom

abc: 4.0080 4.0080 4.0080
angles: 60.00 60.00 60.00
Element x y z (fractional)
1 Be 0.0000 0.0000 0.0000
2 Ga 0.5000 0.5000 0.5000
3 Ir 0.2500 0.2500 0.2500



DFT (PBE-GGA) results for crystalline LaBeGaIr2 at its relaxed geometry.

Properties
VASP energy	-32.82	eV per cell
space group	I4mm, No. 107
magnetic moment	0.00	μB per atom

abc: 5.6667 5.6667 5.6667
angles: 135.94 135.94 64.08
Element x y z (fractional)
1 La 0.0000 0.0000 0.0000
2 Be 0.6399 0.6399 0.0000
3 Ga 0.3750 0.3750 0.0000
4 Ir 0.2353 0.7353 0.5000
5 Ir 0.7353 0.2353 0.5000



DFT (PBE-GGA) results for crystalline LiBeGa2Ir4 at its relaxed geometry.

Properties
VASP energy	-50.43	eV per cell
space group	P4/mmm, No. 123
magnetic moment	0.00	μB per atom

abc: 4.1796 4.1796 5.9409
angles: 90.00 90.00 90.00
Element x y z (fractional)
1 Li 0.0000 0.0000 0.0000
2 Be 0.5000 0.5000 0.5000
3 Ga 0.0000 0.0000 0.5000
4 Ga 0.5000 0.5000 0.0000
5 Ir 0.0000 0.5000 0.2577
6 Ir 0.0000 0.5000 0.7423
7 Ir 0.5000 0.0000 0.2577
8 Ir 0.5000 0.0000 0.7423



DFT (PBE-GGA) results for crystalline BeGaSnIr at its relaxed geometry.

Properties
E above lowest polymorph	0	meV per atom
space group	F-43m, No. 216
magnetic moment	0.00	μB per atom

abc: 4.4709 4.4709 4.4709
angles: 60.00 60.00 60.00
Element x y z (fractional)
1 Be 0.0000 0.0000 0.0000
2 Ga 0.7500 0.7500 0.7500
3 Sn 0.2500 0.2500 0.2500
4 Ir 0.5000 0.5000 0.5000



DFT (PBE-GGA) results for crystalline BeGaSnIr at its relaxed geometry.

Properties
E above lowest polymorph	60	meV per atom
space group	F-43m, No. 216
magnetic moment	0.00	μB per atom

abc: 4.4638 4.4638 4.4638
angles: 60.00 60.00 60.00
Element x y z (fractional)
1 Be 0.0000 0.0000 0.0000
2 Ga 0.5000 0.5000 0.5000
3 Sn 0.2500 0.2500 0.2500
4 Ir 0.7500 0.7500 0.7500



DFT (PBE-GGA) results for crystalline ZrBeGaIr at its relaxed geometry.

Properties
E above lowest polymorph	94	meV per atom
space group	F-43m, No. 216
magnetic moment	0.00	μB per atom

abc: 4.4242 4.4242 4.4242
angles: 60.00 60.00 60.00
Element x y z (fractional)
1 Zr 0.0000 0.0000 0.0000
2 Be 0.5000 0.5000 0.5000
3 Ga 0.2500 0.2500 0.2500
4 Ir 0.7500 0.7500 0.7500



DFT (PBE-GGA) results for crystalline ZrBeGaIr at its relaxed geometry.

Properties
E above lowest polymorph	0	meV per atom
space group	F-43m, No. 216
magnetic moment	0.00	μB per atom

abc: 4.4072 4.4072 4.4072
angles: 60.00 60.00 60.00
Element x y z (fractional)
1 Zr 0.0000 0.0000 0.0000
2 Be 0.2500 0.2500 0.2500
3 Ga 0.5000 0.5000 0.5000
4 Ir 0.7500 0.7500 0.7500



DFT (PBE-GGA) results for crystalline ZrBeGaIr at its relaxed geometry.

Properties
E above lowest polymorph	36	meV per atom
space group	F-43m, No. 216
magnetic moment	0.00	μB per atom

abc: 4.3566 4.3566 4.3566
angles: 60.00 60.00 60.00
Element x y z (fractional)
1 Zr 0.0000 0.0000 0.0000
2 Be 0.2500 0.2500 0.2500
3 Ga 0.7500 0.7500 0.7500
4 Ir 0.5000 0.5000 0.5000